Entry 1:
First-principles (GGA-PBE) data for a relaxed structure of SrPm3S6, as listed in Alexandria via LeMat-Bulk.

Summary:
Formation energy from raw total energies ... -1.787 eV/atom
Electronic total energy ... -58.573 eV per formula unit

Cell and atoms, written as POSCAR:
```
SrPm3S6
1.0
-5.4335 -0.0470 4.2779
0.7374 -7.2395 0.8571
6.4773 1.6707 8.5387
Sr Pm S
2 6 12
Cartesian
0.8906 -2.8079 6.8368
0.0000 0.0000 0.0000
2.5132 -5.3711 9.5570
-2.3480 -3.6433 2.5675
-0.7320 -0.2448 4.1166
1.7534 -3.8470 2.8722
3.2387 0.8353 4.2694
0.0279 -1.7689 10.8015
2.2828 0.0529 10.7802
0.2212 -0.4133 8.2327
-1.8787 -2.6335 5.2768
3.6600 -2.9824 8.3969
1.5600 -5.2026 5.4410
-0.5016 -5.6688 2.8935
1.8401 -1.5363 4.4639
-0.2125 -2.0911 1.9269
3.8355 0.5932 7.1269
-2.0543 -6.2091 6.5467
1.9937 -3.5248 11.7468
-0.0589 -4.0796 9.2097
```

---

Entry 2:
First-principles (GGA-PBE) data for a relaxed structure of LiCd4Rh3, as listed in Alexandria via LeMat-Bulk.

Summary:
Calculated formation energy ... -0.20 eV/atom
Electronic total energy ... -29.233 eV per formula unit

Cell and atoms, written as POSCAR:
```
LiCd4Rh3
1.0
-0.2997 -4.1792 -1.8413
3.4587 -1.4127 2.6434
-5.7789 1.0793 4.1787
Cd Rh Li
4 3 1
Cartesian
-3.1444 -1.2852 3.4289
0.5244 -3.2274 1.5519
-1.0552 -0.4314 1.1508
-1.5648 -4.0812 3.8299
1.7293 -0.7064 1.3217
-2.2678 -2.9552 1.3888
-0.3521 -1.5574 3.5920
-0.1499 -2.0896 -0.9207
```

---

Entry 3:
First-principles (GGA-PBE) data for a relaxed structure of ThAl3CuNi, as listed in Alexandria via LeMat-Bulk.

Summary:
Calculated formation energy ... -0.29 eV/atom
Electronic total energy ... -30.238 eV per formula unit

Cell and atoms, written as POSCAR:
```
ThAl3CuNi
1.0
-2.4731 5.2506 -0.4560
-5.4043 -2.6449 -1.1448
1.4810 1.2604 6.4804
Th Al Cu Ni
2 6 2 2
Cartesian
-2.5255 3.9039 2.9030
-3.8708 -0.0378 1.9766
-0.9639 1.2951 1.5584
-1.5586 -0.7628 -0.3302
-5.0822 0.7432 -1.0426
-2.7951 1.8625 -0.5582
-3.8457 -1.8821 -0.8146
-5.4324 2.5710 3.3212
-1.4808 1.2688 4.0591
-4.9155 2.5973 0.8205
-4.3860 -0.0640 4.4691
-2.0104 3.9300 0.4105
```

---

Entry 4:
First-principles (GGA-PBE) data for a relaxed structure of Mn2CoSiPd, as listed in Alexandria via LeMat-Bulk.

Summary:
Formation energy from raw total energies ... 0.472 eV/atom
Electronic total energy ... -33.703 eV per formula unit

Cell and atoms, written as POSCAR:
```
Mn2CoSiPd
1.0
4.4973 0.0000 0.0000
0.0000 4.1716 0.0000
0.0000 0.0000 4.4973
Si Mn Co Pd
1 2 1 1
Cartesian
0.0000 2.0858 0.0000
0.0000 0.0000 2.2486
2.2486 0.0000 0.0000
0.0000 0.0000 0.0000
2.2486 2.0858 2.2486
```

---

Entry 5:
First-principles (GGA-PBE) data for a relaxed structure of SrCaSn4O12, as listed in Alexandria via LeMat-Bulk.

Summary:
Formation energy from raw total energies ... -1.454 eV/atom
Electronic total energy ... -105.356 eV per formula unit

Cell and atoms, written as POSCAR:
```
SrCaSn4O12
1.0
4.0052 -4.0832 0.0000
4.0052 4.0832 0.0000
0.0000 0.0000 8.1992
Sr Ca Sn O
1 1 4 12
Cartesian
0.3073 0.0000 4.0996
3.7520 0.0000 0.0000
6.0041 -1.9371 6.1922
6.0041 -1.9371 2.0070
6.0041 1.9371 2.0070
6.0041 1.9371 6.1922
4.0181 -2.4486 6.0184
4.0181 2.4486 6.0184
4.0181 2.4486 2.1808
4.0181 -2.4486 2.1808
2.2828 0.0000 6.0669
5.4783 0.0000 6.5694
5.4783 0.0000 1.6298
2.2828 0.0000 2.1323
2.2126 1.7442 0.0000
6.0410 -1.8324 4.0996
2.2126 -1.7442 0.0000
6.0410 1.8324 4.0996
```

---

Entry 6:
First-principles (GGA-PBE) data for a relaxed structure of Zn2HgAu2, as listed in Alexandria via LeMat-Bulk.

Summary:
Polymorph energy (0 for the lowest one) ... 23 meV/atom
Calculated formation energy ... -0.09 eV/atom
Electronic total energy ... -9.840 eV per formula unit

Cell and atoms, written as POSCAR:
```
Zn2HgAu2
1.0
-7.8074 -0.8327 1.2682
1.4275 -6.2835 4.6622
0.1860 1.7388 2.2865
Zn Au Hg
4 4 2
Cartesian
-1.6740 -5.8051 4.5506
-5.9325 -4.6599 4.0260
-4.7059 -1.3111 1.3798
-0.4474 -2.4564 1.9043
-0.2759 -3.4800 4.4807
-3.9503 -4.9056 5.8636
-5.9180 -1.8975 3.7362
-2.2436 -0.4719 2.3533
0.0000 0.0000 0.0000
-3.1900 -3.5581 2.9652
```

---

Entry 7:
First-principles (GGA-PBE) data for a relaxed structure of CrSnIrPd2, as listed in Alexandria via LeMat-Bulk.

Summary:
Calculated formation energy ... 0.75 eV/atom
Electronic total energy ... -29.098 eV per formula unit

Cell and atoms, written as POSCAR:
```
CrSnIrPd2
1.0
-0.4155 4.2455 -1.9600
-4.4525 -0.2717 0.3554
0.2182 1.9832 4.2495
Cr Ir Sn Pd
1 1 1 2
Cartesian
0.0000 0.0000 0.0000
-2.2263 -0.1358 0.1777
-2.3249 2.9785 1.3224
0.1091 0.9916 2.1247
-0.2077 2.1228 -0.9800
```

---

Entry 8:
First-principles (GGA-PBE) data for a relaxed structure of In2PbAu, as listed in Alexandria via LeMat-Bulk.

Summary:
Calculated formation energy ... 0.01 eV/atom
Electronic total energy ... -12.404 eV per formula unit

Cell and atoms, written as POSCAR:
```
In2PbAu
1.0
-1.9484 4.0851 -1.6898
-0.8709 -2.0659 -3.9902
-4.0966 -1.3047 1.5696
Au In Pb
1 2 1
Cartesian
-3.0225 1.3902 -0.0601
0.0000 0.0000 0.0000
-2.4837 -1.6853 -1.2103
-1.4097 1.0096 -2.8400
```

---

Entry 9:
First-principles (GGA-PBE) data for a relaxed structure of CaLa2Mg, as listed in Alexandria via LeMat-Bulk.

Summary:
Calculated formation energy ... -0.01 eV/atom
Electronic total energy ... -13.506 eV per formula unit

Cell and atoms, written as POSCAR:
```
CaLa2Mg
1.0
-3.6909 -0.8318 -1.3767
-1.3679 -0.1898 3.7819
-1.8327 8.5213 -0.2353
Ca Mg La
1 1 2
Cartesian
-3.9039 5.8802 1.0261
-2.9876 1.6195 1.1437
-0.0666 0.3098 -0.0086
-0.8497 3.9509 -0.1091
```

---

Entry 10:
First-principles (GGA-PBE) data for a relaxed structure of GaCuTe, as listed in Alexandria via LeMat-Bulk.

Summary:
Formation energy from raw total energies ... -0.112 eV/atom
Polymorph energy (0 for the lowest one) ... 30 meV/atom
Electronic total energy ... -10.602 eV per formula unit

Cell and atoms, written as POSCAR:
```
GaCuTe
1.0
4.2950 0.0000 0.0000
-2.1475 3.7196 0.0000
0.0000 0.0000 25.6871
Te Cu Ga
6 6 6
Cartesian
0.0000 0.0000 2.6929
0.0000 0.0000 22.9942
0.0000 2.4797 19.8176
0.0000 2.4797 14.4319
2.1475 1.2399 11.2553
2.1475 1.2399 5.8695
0.0000 0.0000 10.2929
0.0000 0.0000 15.3942
0.0000 2.4797 1.7305
0.0000 2.4797 6.8319
2.1475 1.2399 18.8553
2.1475 1.2399 23.9566
0.0000 0.0000 7.7799
0.0000 0.0000 17.9073
0.0000 2.4797 24.9046
0.0000 2.4797 9.3449
2.1475 1.2399 16.3422
2.1475 1.2399 0.7825
```

---

Entry 11:
First-principles (GGA-PBE) data for a relaxed structure of Pr3Dy5Tm3, as listed in Alexandria via LeMat-Bulk.

Summary:
Calculated formation energy ... 0.81 eV/atom
Electronic total energy ... -41.846 eV per formula unit

Cell and atoms, written as POSCAR:
```
Pr3Dy5Tm3
1.0
-0.2990 -4.8987 2.0600
7.5091 1.9872 5.8154
-9.0557 1.8061 2.9808
Pr Dy Tm
3 5 3
Cartesian
-1.1329 -0.0375 6.6229
-3.4472 -1.7916 2.1155
2.5850 -1.7257 3.1477
-3.6836 -0.5829 4.9556
1.8380 -0.5226 5.9005
-0.5539 -1.4576 3.3298
-6.8376 -1.1155 3.2314
5.3963 -0.9818 5.3249
-0.7044 1.7277 4.0063
4.0890 1.0821 3.1667
-4.9312 0.9835 1.6232
```

---

Entry 12:
First-principles (GGA-PBE) data for a relaxed structure of EuHo3Ir, as listed in Alexandria via LeMat-Bulk.

Summary:
Calculated formation energy ... -0.36 eV/atom
Electronic total energy ... -34.657 eV per formula unit

Cell and atoms, written as POSCAR:
```
EuHo3Ir
1.0
5.4626 0.0000 0.0000
0.0000 5.4626 0.0000
0.0000 0.0000 5.4626
Eu Ir Ho
1 1 3
Cartesian
2.7313 2.7313 2.7313
0.0000 0.0000 0.0000
0.0000 2.7313 0.0000
0.0000 0.0000 2.7313
2.7313 0.0000 0.0000
```

---

Look up the electronic total energy of the second one.
-29.233 eV per formula unit

---

What did the first record say?
First-principles (GGA-PBE) data for a relaxed structure of SrPm3S6, as listed in Alexandria via LeMat-Bulk.

Summary:
Formation energy from raw total energies ... -1.787 eV/atom
Electronic total energy ... -58.573 eV per formula unit

Cell and atoms, written as POSCAR:
```
SrPm3S6
1.0
-5.4335 -0.0470 4.2779
0.7374 -7.2395 0.8571
6.4773 1.6707 8.5387
Sr Pm S
2 6 12
Cartesian
0.8906 -2.8079 6.8368
0.0000 0.0000 0.0000
2.5132 -5.3711 9.5570
-2.3480 -3.6433 2.5675
-0.7320 -0.2448 4.1166
1.7534 -3.8470 2.8722
3.2387 0.8353 4.2694
0.0279 -1.7689 10.8015
2.2828 0.0529 10.7802
0.2212 -0.4133 8.2327
-1.8787 -2.6335 5.2768
3.6600 -2.9824 8.3969
1.5600 -5.2026 5.4410
-0.5016 -5.6688 2.8935
1.8401 -1.5363 4.4639
-0.2125 -2.0911 1.9269
3.8355 0.5932 7.1269
-2.0543 -6.2091 6.5467
1.9937 -3.5248 11.7468
-0.0589 -4.0796 9.2097
```

---

Which of these has the highest electronic total energy?
Zn2HgAu2

---

Among the records above, which one has the lowest electronic total energy?
SrCaSn4O12